NdEuSiHg | GGA-PBE | optimized geometry

Cell: 7.5095 7.5095 7.5095 Å, 90.00 90.00 90.00°
Space group F-43m (No. 216)
Symmetry-distinct sites (fractional):
Nd 0.0000 0.0000 0.0000 [4 per cell]
Eu 0.0000 0.0000 0.5000 [4 per cell]
Si 0.2500 0.2500 0.2500 [4 per cell]
Hg 0.2500 0.2500 0.7500 [4 per cell]

Raw formation energy ... -449 meV per atom
Spin magnetization ... 7.6 μB per formula unit

---

NdSmEuHg | GGA-PBE | optimized geometry

Cell: 7.8704 7.8704 7.8704 Å, 90.00 90.00 90.00°
Space group F-43m (No. 216)
Symmetry-distinct sites (fractional):
Nd 0.0000 0.0000 0.0000 [4 per cell]
Sm 0.0000 0.0000 0.5000 [4 per cell]
Eu 0.2500 0.2500 0.7500 [4 per cell]
Hg 0.2500 0.2500 0.2500 [4 per cell]

ΔE_f ... -0.075 eV/atom
Spin magnetization ... 7.2 μB per formula unit

---

- Among the records above, which one has the lowest spin magnetization?
  NdSmEuHg

---

- What is the formula in the first record?
  NdEuSiHg